Material: NdDyIrBr
Method: DFT, PBE-GGA
State: optimized geometry

Geometry as extended XYZ:
```
4
Lattice="2.0504 1.1838 7.7708 -2.0504 1.1838 7.7708 0.0000 -2.3676 7.7708" Properties=species:S:1:pos:R:3 pbc="T T T"
Nd 0.0000 0.0000 0.0000
Dy 0.0000 0.0000 18.5046
Ir 0.0000 0.0000 9.3188
Br 0.0000 0.0000 5.2835
```

volume = 28.3 Å³ per atom
magnetic moment = 0.00 μB/f.u.
density of states at the Fermi level = 0.8 states/eV/cell
formation energy from raw total energies = -1.0823 eV/atom